1.
A plane-wave DFT calculation with PBE-GGA was carried out for Mg2SnRh2 after structural relaxation.

Cell: 9.533 6.205 6.317 Å, 90.00 90.00 90.00°
Sites, in units of the cell vectors:
Mg (0.001, 0.250, 0.000)
Mg (0.001, 0.250, 0.500)
Mg (0.324, 0.250, 0.000)
Mg (0.324, 0.250, 0.500)
Mg (0.676, 0.750, 0.000)
Mg (0.676, 0.750, 0.500)
Mg (0.999, 0.750, 0.000)
Mg (0.999, 0.750, 0.500)
Sn (0.329, 0.750, 0.000)
Sn (0.329, 0.750, 0.500)
Sn (0.671, 0.250, 0.000)
Sn (0.671, 0.250, 0.500)
Rh (0.167, 0.509, 0.250)
Rh (0.167, 0.991, 0.750)
Rh (0.498, 0.004, 0.750)
Rh (0.498, 0.496, 0.250)
Rh (0.502, 0.504, 0.750)
Rh (0.502, 0.996, 0.250)
Rh (0.833, 0.009, 0.250)
Rh (0.833, 0.491, 0.750)

Output
As for the volume: 373.7 Å³ per cell. The space group is Pbcm. For the formation energy, the calculation gives -0.4346 eV/atom. The calculation puts the density of states at the Fermi level at 0.4954 states/eV/atom. Its total moment is 0.00 μB per formula unit. For the total DFT energy (no corrections), the calculation gives -4.814 eV/atom.

=====

2.
A plane-wave DFT calculation with PBE-GGA was carried out for ErPu4Tl5 after structural relaxation.

Cell: 3.761 3.761 19.641 Å, 90.00 90.00 90.00°
Sites, in units of the cell vectors:
Er (0.000, 0.000, 0.000)
Pu (0.000, 0.000, 0.197)
Pu (0.000, 0.000, 0.400)
Pu (0.000, 0.000, 0.600)
Pu (0.000, 0.000, 0.803)
Tl (0.500, 0.500, 0.094)
Tl (0.500, 0.500, 0.298)
Tl (0.500, 0.500, 0.500)
Tl (0.500, 0.500, 0.702)
Tl (0.500, 0.500, 0.906)

Output
As for the volume: 277.9 Å³ per cell. The space group is P4/mmm. For the formation energy, the calculation gives -0.0387 eV/atom. The calculation puts the density of states at the Fermi level at 3.5518 states/eV/atom. Its total moment is 24.09 μB per formula unit. For the total DFT energy (no corrections), the calculation gives -7.411 eV/atom.

=====

3.
A plane-wave DFT calculation with PBE-GGA was carried out for BaAlH5 after structural relaxation.

Cell: 9.101 7.015 5.077 Å, 90.00 90.00 90.00°
Sites, in units of the cell vectors:
Ba (0.186, 0.156, 0.000)
Ba (0.314, 0.656, 0.500)
Ba (0.686, 0.344, 0.000)
Ba (0.814, 0.844, 0.500)
Al (0.041, 0.654, 0.973)
Al (0.459, 0.154, 0.473)
Al (0.541, 0.846, 0.973)
Al (0.959, 0.346, 0.473)
H (0.009, 0.555, 0.647)
H (0.078, 0.788, 0.248)
H (0.085, 0.845, 0.767)
H (0.143, 0.304, 0.477)
H (0.209, 0.544, 0.959)
H (0.291, 0.044, 0.459)
H (0.357, 0.804, 0.977)
H (0.415, 0.345, 0.267)
H (0.422, 0.288, 0.748)
H (0.491, 0.055, 0.147)
H (0.509, 0.945, 0.647)
H (0.578, 0.712, 0.248)
H (0.585, 0.655, 0.767)
H (0.643, 0.196, 0.477)
H (0.709, 0.956, 0.959)
H (0.791, 0.456, 0.459)
H (0.857, 0.696, 0.977)
H (0.915, 0.155, 0.267)
H (0.922, 0.212, 0.748)
H (0.991, 0.445, 0.147)

Output
As for the volume: 324.2 Å³ per cell. The space group is Pna2_1. The calculation puts the density of states at the Fermi level at 0.0000 states/eV/atom. Its total moment is 0.00 μB per formula unit. For the total DFT energy (no corrections), the calculation gives -3.556 eV/atom.

=====

4.
A plane-wave DFT calculation with PBE-GGA was carried out for NiAs2Ru after structural relaxation.

Cell: 4.376 4.376 4.376 Å, 60.00 60.00 60.00°
Sites, in units of the cell vectors:
Ni (0.000, 0.000, 0.000)
As (0.500, 0.500, 0.500)
As (0.750, 0.750, 0.750)
Ru (0.250, 0.250, 0.250)

Output
As for the volume: 59.2 Å³ per cell. The space group is F-43m. For the formation energy, the calculation gives 0.4156 eV/atom. The calculation puts the density of states at the Fermi level at 1.3038 states/eV/atom. Its total moment is 0.13 μB per formula unit. For the total DFT energy (no corrections), the calculation gives -5.673 eV/atom.

=====

5.
A plane-wave DFT calculation with PBE-GGA was carried out for Be2AsPb after structural relaxation.

Cell: 6.447 6.447 6.447 Å, 149.06 148.07 45.06°
Sites, in units of the cell vectors:
Be (0.000, 0.000, 0.000)
Be (0.606, 0.106, 0.500)
As (0.479, 0.479, 0.000)
Pb (0.241, 0.741, 0.500)

Output
As for the volume: 72.7 Å³ per cell. The space group is Imm2. For the formation energy, the calculation gives 0.3354 eV/atom. The calculation puts the density of states at the Fermi level at 0.2968 states/eV/atom. Its total moment is 0.00 μB per formula unit. For the total DFT energy (no corrections), the calculation gives -3.617 eV/atom.

=====

6.
A plane-wave DFT calculation with PBE-GGA was carried out for BaHf2InMo after structural relaxation.

Cell: 5.108 5.108 5.546 Å, 90.00 90.00 90.00°
Sites, in units of the cell vectors:
Ba (0.000, 0.000, 0.000)
Hf (0.000, 0.500, 0.500)
Hf (0.500, 0.000, 0.500)
In (0.500, 0.500, 0.000)
Mo (0.500, 0.500, 0.500)

Output
As for the volume: 144.7 Å³ per cell. The space group is P4/mmm. For the formation energy, the calculation gives 0.3804 eV/atom. The calculation puts the density of states at the Fermi level at 0.5654 states/eV/atom. Its total moment is 0.00 μB per formula unit. For the total DFT energy (no corrections), the calculation gives -6.699 eV/atom.

=====

7.
A plane-wave DFT calculation with PBE-GGA was carried out for MoH2Ir after structural relaxation.

Cell: 5.120 5.120 5.120 Å, 131.30 131.30 71.33°
Sites, in units of the cell vectors:
Mo (0.000, 0.000, 0.000)
Mo (0.750, 0.250, 0.500)
H (0.141, 0.625, 0.016)
H (0.375, 0.391, 0.516)
H (0.609, 0.125, 0.984)
H (0.875, 0.859, 0.484)
Ir (0.250, 0.750, 0.500)
Ir (0.500, 0.500, 0.000)

Output
As for the volume: 74.1 Å³ per cell. The space group is I-42d. The calculation puts the density of states at the Fermi level at 0.6535 states/eV/atom. Its total moment is 0.00 μB per formula unit. For the total DFT energy (no corrections), the calculation gives -6.423 eV/atom.

=====

8.
A plane-wave DFT calculation with PBE-GGA was carried out for LaZrPb2 after structural relaxation.

Cell: 3.478 3.478 9.079 Å, 90.00 90.00 94.01°
Sites, in units of the cell vectors:
La (0.000, 0.000, 0.000)
Zr (0.000, 0.000, 0.500)
Pb (0.500, 0.500, 0.271)
Pb (0.500, 0.500, 0.729)

Output
As for the volume: 109.6 Å³ per cell. The space group is Cmmm. For the formation energy, the calculation gives -0.3101 eV/atom. The calculation puts the density of states at the Fermi level at 0.8123 states/eV/atom. Its total moment is 0.03 μB per formula unit. For the total DFT energy (no corrections), the calculation gives -5.533 eV/atom.

=====

9.
A plane-wave DFT calculation with PBE-GGA was carried out for SrAlCoP after structural relaxation.

Cell: 3.835 3.835 11.348 Å, 90.00 90.00 90.00°
Sites, in units of the cell vectors:
Sr (0.250, 0.250, 0.239)
Sr (0.750, 0.750, 0.761)
Al (0.250, 0.750, 0.500)
Al (0.750, 0.250, 0.500)
Co (0.250, 0.750, 0.000)
Co (0.750, 0.250, 0.000)
P (0.250, 0.250, 0.899)
P (0.750, 0.750, 0.101)

Output
As for the volume: 166.9 Å³ per cell. The space group is P4/nmm. For the formation energy, the calculation gives -0.5318 eV/atom. The calculation puts the density of states at the Fermi level at 0.7050 states/eV/atom. Its total moment is 0.53 μB per formula unit. For the total DFT energy (no corrections), the calculation gives -5.017 eV/atom.

=====

10.
A plane-wave DFT calculation with PBE-GGA was carried out for ScSi2Pb2 after structural relaxation.

Cell: 7.099 7.099 4.646 Å, 90.00 90.00 90.00°
Sites, in units of the cell vectors:
Sc (0.000, 0.000, 0.000)
Sc (0.500, 0.500, 0.000)
Si (0.119, 0.381, 0.000)
Si (0.381, 0.881, 0.000)
Si (0.619, 0.119, 0.000)
Si (0.881, 0.619, 0.000)
Pb (0.184, 0.684, 0.500)
Pb (0.316, 0.184, 0.500)
Pb (0.684, 0.816, 0.500)
Pb (0.816, 0.316, 0.500)

Output
As for the volume: 234.1 Å³ per cell. The space group is P4/mbm. The calculation puts the density of states at the Fermi level at 0.7941 states/eV/atom. Its total moment is 0.00 μB per formula unit. For the total DFT energy (no corrections), the calculation gives -4.886 eV/atom. As for the uncorrected formation energy: 0.033 eV/atom.

=====

11.
A plane-wave DFT calculation with PBE-GGA was carried out for BaLi2Mo after structural relaxation.

Cell: 4.813 4.813 4.561 Å, 90.00 90.00 90.00°
Sites, in units of the cell vectors:
Ba (0.000, 0.000, 0.000)
Li (0.000, 0.500, 0.500)
Li (0.500, 0.000, 0.500)
Mo (0.500, 0.500, 0.000)

Output
As for the volume: 105.7 Å³ per cell. The space group is P4/mmm. For the formation energy, the calculation gives 0.9218 eV/atom. The calculation puts the density of states at the Fermi level at 0.9133 states/eV/atom. Its total moment is 3.13 μB per formula unit. For the total DFT energy (no corrections), the calculation gives -3.224 eV/atom.

=====

12.
A plane-wave DFT calculation with PBE-GGA was carried out for GdAlP after structural relaxation.

Cell: 8.779 8.779 3.783 Å, 102.32 102.32 25.79°
Sites, in units of the cell vectors:
Gd (0.000, 0.000, 0.000)
Gd (0.737, 0.737, 0.236)
Al (0.340, 0.340, 0.840)
Al (0.586, 0.586, 0.585)
P (0.167, 0.167, 0.666)
P (0.439, 0.439, 0.439)

Output
As for the volume: 123.8 Å³ per cell. The space group is Cm. For the formation energy, the calculation gives -0.7489 eV/atom. The calculation puts the density of states at the Fermi level at 0.1760 states/eV/atom. Its total moment is 0.02 μB per formula unit. For the total DFT energy (no corrections), the calculation gives -8.493 eV/atom.

=====

> Which formula does entry 3 have?

BaAlH5

=====

> Which of these has the highest total moment?

ErPu4Tl5

=====

> total moment of number 8 (LaZrPb2)?

0.03 μB per formula unit